Computed, not measured: a geometry-optimized PaCd structure at the PBE-GGA level of DFT.

Structure (POSCAR):
```
PaCd
1.0
3.0679 0.0000 0.0000
0.0000 3.0679 0.0000
0.0000 0.0000 10.0911
Pa Cd
2 2
Direct
0.2500 0.2500 0.1261
0.7500 0.7500 0.8739
0.2500 0.2500 0.6143
0.7500 0.7500 0.3857
```

## Properties
**E_form**: 0.04 eV/atom
**Space group**: No. 129
**Crystal system**: tetragonal
**Magnetic moment**: 0.000 μB per formula unit

Computed, not measured: a geometry-optimized GeSbIr3 structure at the PBE-GGA level of DFT.

Structure (POSCAR):
```
GeSbIr3
1.0
4.8710 0.0000 0.0000
0.0000 4.8710 0.0000
0.0000 0.0000 4.8710
Ge Sb Ir
1 1 3
Direct
0.0000 0.0000 0.0000
0.5000 0.5000 0.5000
0.0000 0.5000 0.5000
0.5000 0.0000 0.5000
0.5000 0.5000 0.0000
```

## Properties
**Space group**: No. 221
**Energy relative to the elements, uncorrected**: 1.5988 eV/atom
**Crystal system**: cubic
**Magnetic moment**: 0.000 μB per formula unit

Computed, not measured: a geometry-optimized Zn3NiPb structure at the PBE-GGA level of DFT.

Structure (POSCAR):
```
Zn3NiPb
1.0
5.2398 0.0000 0.0000
0.0000 5.2398 0.0000
0.0000 0.0000 5.2398
Zn Ni Pb
3 1 1
Direct
0.0000 0.0000 0.5000
0.0000 0.5000 0.0000
0.5000 0.0000 0.0000
0.5000 0.5000 0.5000
0.0000 0.0000 0.0000
```

## Properties
**E_form**: 1.17 eV/atom
**Space group**: No. 221
**Crystal system**: cubic
**Magnetic moment**: 0.008 μB per formula unit

Computed, not measured: a geometry-optimized NaLi2Ag2 structure at the PBE-GGA level of DFT.

Structure (POSCAR):
```
NaLi2Ag2
1.0
-2.0621 2.0621 6.3058
2.0621 -2.0621 6.3058
2.0621 2.0621 -6.3058
Na Li Ag
1 2 2
Direct
0.0000 0.0000 0.0000
0.2500 0.7500 0.5000
0.7500 0.2500 0.5000
0.3902 0.3902 0.0000
0.6098 0.6098 0.0000
```

## Properties
**E_form**: -0.04 eV/atom
**Space group**: No. 139
**Crystal system**: tetragonal
**Magnetic moment**: 0.000 μB per formula unit

Number 1: N(E_F) 3.3 states/eV/f.u.. Number 2: N(E_F) 3.8 states/eV/f.u.. Number 3: N(E_F) 3.8 states/eV/f.u.. Number 4: N(E_F) 1.9 states/eV/f.u..